Entry 1:
# Y3TlH2, optimized geometry, DFT PBE
data_Y3TlH2
_space_group_name_H-M_alt 'C 1 2/m 1'
_space_group_IT_number 12
_space_group_name_Hall '-C 2y'
_cell_length_a 23.389
_cell_length_b 3.622
_cell_length_c 6.246
_cell_angle_alpha 90.00
_cell_angle_beta 103.44
_cell_angle_gamma 90.00
loop_
_atom_site_label
_atom_site_type_symbol
_atom_site_fract_x
_atom_site_fract_y
_atom_site_fract_z
_atom_site_occupancy
Y1 Y 0.037 0.000 0.274 1
Y2 Y 0.104 0.500 0.868 1
Y3 Y 0.235 0.000 0.220 1
Tl1 Tl 0.149 0.500 0.424 1
H1 H 0.055 0.000 0.932 1
H2 H 0.207 0.500 0.011 1
# total magnetic moment: 0.000 μB per formula unit
# energy: -5.1353 eV/atom



Entry 2:
# AcCd4Ge2, optimized geometry, DFT PBE
data_AcCd4Ge2
_space_group_name_H-M_alt 'R -3 m'
_space_group_IT_number 166
_space_group_name_Hall '-R 3 2"'
_cell_length_a 4.8976
_cell_length_b 4.8976
_cell_length_c 25.0195
_cell_angle_alpha 90.00
_cell_angle_beta 90.00
_cell_angle_gamma 120.00
loop_
_atom_site_label
_atom_site_type_symbol
_atom_site_fract_x
_atom_site_fract_y
_atom_site_fract_z
_atom_site_occupancy
Ac1 Ac 0.0000 0.0000 0.0000 1
Cd1 Cd 0.0000 0.0000 0.1420 1
Cd2 Cd 0.0000 0.0000 0.4179 1
Ge1 Ge 0.0000 0.0000 0.2550 1
# energy relative to the elements: -0.16 eV per atom
# total magnetic moment: 0.000 μB per formula unit



Entry 3:
# Be2InHgB, optimized geometry, DFT PBE
data_Be2InHgB
_space_group_name_H-M_alt 'P 4/m m m'
_space_group_IT_number 123
_space_group_name_Hall '-P 4 2'
_cell_length_a 4.662
_cell_length_b 4.662
_cell_length_c 4.178
_cell_angle_alpha 90.00
_cell_angle_beta 90.00
_cell_angle_gamma 90.00
loop_
_atom_site_label
_atom_site_type_symbol
_atom_site_fract_x
_atom_site_fract_y
_atom_site_fract_z
_atom_site_occupancy
Be1 Be 0.000 0.500 0.000 1
In1 In 0.000 0.000 0.500 1
Hg1 Hg 0.500 0.500 0.000 1
B1 B 0.500 0.500 0.500 1
# energy relative to the elements: 1.26 eV per atom
# total magnetic moment: 0.000 μB per formula unit